Material: LiTl2Bi2
Method: DFT, PBE
State: optimized geometry

Output
ΔE_f: 0.04 eV/atom
Offset from the most stable computed form: 3.62 kcal/mol of atoms

Lattice parameters (Å, degrees): 4.597 4.597 15.861 90.00 90.00 90.00
Space group I4/mmm (No. 139)
Unique sites:
Li: 0.000 0.000 0.000 x2
Tl: 0.000 0.500 0.250 x4
Bi: 0.000 0.000 0.407 x4

***

Material: KAg2Sb2
Method: DFT, PBE
State: optimized geometry

Output
Uncorrected formation energy: -0.042 eV per atom
Offset from the most stable computed form: 3.79 kcal/mol of atoms

Lattice parameters (Å, degrees): 8.998 8.998 3.185 90.00 90.00 90.00
Space group P4/mbm (No. 127)
Unique sites:
K: 0.000 0.000 0.000 x2
Ag: 0.147 0.353 0.500 x4
Sb: 0.147 0.647 0.000 x4

***

Material: Mg3TlBr
Method: DFT, PBE
State: optimized geometry

Output
Uncorrected formation energy: -0.096 eV per atom
Offset from the most stable computed form: 0.00 kcal/mol of atoms

Lattice parameters (Å, degrees): 5.396 5.396 5.396 90.00 90.00 90.00
Space group Pm-3m (No. 221)
Unique sites:
Mg: 0.000 0.000 0.500 x3
Tl: 0.000 0.000 0.000 x1
Br: 0.500 0.500 0.500 x1

***

Material: Be2P
Method: DFT, PBE
State: optimized geometry

Output
ΔE_f: -0.14 eV/atom
Offset from the most stable computed form: 0.00 kcal/mol of atoms

Lattice parameters (Å, degrees): 4.0857 4.0857 15.7376 90.00 90.00 120.00
Space group R3m (No. 160, hexagonal axes)
Unique sites:
Be: 0.0000 0.0000 0.0000 x3
Be: 0.0020 0.5010 0.7942 x9
P: 0.0000 0.0000 0.3466 x3
P: 0.0000 0.0000 0.8586 x3

***

Material: GeTe2SN
Method: DFT, PBE
State: optimized geometry

Output
Uncorrected formation energy: 0.889 eV per atom
Offset from the most stable computed form: 2.45 kcal/mol of atoms

Lattice parameters (Å, degrees): 5.629 5.629 3.503 90.00 90.00 90.00
Space group P4/mmm (No. 123)
Unique sites:
Ge: 0.000 0.000 0.000 x1
Te: 0.000 0.500 0.000 x2
S: 0.500 0.500 0.500 x1
N: 0.000 0.000 0.500 x1

***

Material: Ce2HfS4
Method: DFT, PBE
State: optimized geometry

Output
Uncorrected formation energy: -1.625 eV per atom

Lattice parameters (Å, degrees): 4.828 4.828 14.364 90.00 90.00 90.00
Space group I4/mmm (No. 139)
Unique sites:
Ce: 0.000 0.000 0.131 x4
Hf: 0.000 0.000 0.500 x2
S: 0.000 0.000 0.322 x4
S: 0.000 0.500 0.000 x4

***

Material: PrThZnCu
Method: DFT, PBE
State: optimized geometry

Output
ΔE_f: -0.12 eV/atom

Lattice parameters (Å, degrees): 7.288 7.288 7.288 90.00 90.00 90.00
Space group F-43m (No. 216)
Unique sites:
Pr: 0.000 0.000 0.000 x4
Th: 0.000 0.000 0.500 x4
Zn: 0.250 0.250 0.250 x4
Cu: 0.250 0.250 0.750 x4

***

Material: KNpTiO6
Method: DFT, PBE
State: optimized geometry

Output
Uncorrected formation energy: -2.629 eV per atom

Lattice parameters (Å, degrees): 5.4299 5.4299 5.9087 90.00 90.00 120.00
Space group P312 (No. 149)
Unique sites:
K: 0.0000 0.0000 0.0000 x1
Np: 0.3333 0.6667 0.5000 x1
Ti: 0.6667 0.3333 0.5000 x1
O: 0.3886 0.0055 0.3170 x6

***

no.,total DFT energy (no corrections) (eV per atom)
1,-2.840
2,-3.051
3,-1.860
4,-4.424
5,-3.782
6,-7.101
7,-4.517
8,-8.371